1.
## Ce6HgPb2C (PBE)

Data for a relaxed structure of Ce6HgPb2C.

a b c (Å): 5.466 5.466 10.616
angles (deg): 90.00 90.00 90.00
Each line ends with the local moment (μB).
Fractional coordinates of all 10 atoms:
1 Ce 0.500 0.000 0.000  0.73
2 Ce 0.500 0.000 0.500  1.01
3 Ce 0.000 0.500 0.000  0.73
4 Ce 0.000 0.500 0.500  1.01
5 Ce 0.500 0.500 0.718  0.74
6 Ce 0.500 0.500 0.282  0.74
7 Hg 0.500 0.500 0.000  0.00
8 Pb 0.000 0.000 0.742  -0.04
9 Pb 0.000 0.000 0.258  -0.04
10 C 0.500 0.500 0.500  -0.08

## Properties
D(E_F) = 30.792 states/eV per cell
Symmetry = P4/mmm, No. 123
ΔH_f (0 K) = 0.5 eV per formula unit

2.
## Ce2PmHgC (PBE)

Data for a relaxed structure of Ce2PmHgC.

a b c (Å): 4.923 4.923 5.129
angles (deg): 90.00 90.00 90.00
Each line ends with the local moment (μB).
Fractional coordinates of all 5 atoms:
1 Ce 0.000 0.500 0.000  0.32
2 Ce 0.500 0.000 0.000  0.32
3 Pm 0.000 0.000 0.500  0.01
4 Hg 0.500 0.500 0.500  0.00
5 C 0.000 0.000 0.000  -0.03

## Properties
D(E_F) = 10.081 states/eV per cell
Symmetry = P4/mmm, No. 123
ΔH_f (0 K) = -1.2 eV per formula unit

3.
## CeSc2HgC (PBE)

Data for a relaxed structure of CeSc2HgC.

a b c (Å): 4.846 4.620 4.620
angles (deg): 90.00 90.00 90.00
Each line ends with the local moment (μB).
Fractional coordinates of all 5 atoms:
1 Ce 0.500 0.000 0.000  0.05
2 Sc 0.000 0.000 0.500  0.00
3 Sc 0.000 0.500 0.000  0.00
4 Hg 0.500 0.500 0.500  0.00
5 C 0.000 0.000 0.000  0.00

## Properties
D(E_F) = 5.342 states/eV per cell
Symmetry = P4/mmm, No. 123
ΔH_f (0 K) = -2.0 eV per formula unit

4.
## Ce2SmHgC (PBE)

Data for a relaxed structure of Ce2SmHgC.

a b c (Å): 4.923 4.923 5.096
angles (deg): 90.00 90.00 90.00
Each line ends with the local moment (μB).
Fractional coordinates of all 5 atoms:
1 Ce 0.000 0.500 0.000  0.32
2 Ce 0.500 0.000 0.000  0.32
3 Sm 0.000 0.000 0.500  0.01
4 Hg 0.500 0.500 0.500  0.00
5 C 0.000 0.000 0.000  -0.03

## Properties
D(E_F) = 10.034 states/eV per cell
Symmetry = P4/mmm, No. 123
ΔH_f (0 K) = -1.2 eV per formula unit

5.
## CeSm2HgC (PBE)

Data for a relaxed structure of CeSm2HgC.

a b c (Å): 4.868 5.075 5.075
angles (deg): 90.00 90.00 90.00
Each line ends with the local moment (μB).
Fractional coordinates of all 5 atoms:
1 Ce 0.500 0.000 0.000  0.16
2 Sm 0.000 0.000 0.500  0.00
3 Sm 0.000 0.500 0.000  0.00
4 Hg 0.500 0.500 0.500  0.00
5 C 0.000 0.000 0.000  -0.01

## Properties
D(E_F) = 7.475 states/eV per cell
Symmetry = P4/mmm, No. 123
ΔH_f (0 K) = -1.3 eV per formula unit

6.
## Ce12Sn4HgC3 (PBE)

Data for a relaxed structure of Ce12Sn4HgC3.

a b c (Å): 8.903 8.903 8.903
angles (deg): 109.47 109.47 109.47
Each line ends with the local moment (μB).
Fractional coordinates of all 20 atoms:
1 Ce 0.250 0.500 0.750  0.70
2 Ce 0.723 0.000 0.723  0.61
3 Ce 0.277 0.000 0.277  0.61
4 Ce 0.750 0.500 0.250  0.70
5 Ce 0.723 0.723 0.000  0.61
6 Ce 0.277 0.277 0.000  0.61
7 Ce 0.750 0.250 0.500  0.70
8 Ce 0.250 0.750 0.500  0.70
9 Ce 0.500 0.250 0.750  0.70
10 Ce 0.000 0.723 0.723  0.61
11 Ce 0.500 0.750 0.250  0.70
12 Ce 0.000 0.277 0.277  0.61
13 Sn 0.500 0.500 0.500  -0.03
14 Sn 0.000 0.000 0.500  -0.03
15 Sn 0.500 0.000 0.000  -0.03
16 Sn 0.000 0.500 0.000  -0.03
17 Hg 0.000 0.000 0.000  0.04
18 C 0.500 0.000 0.500  -0.04
19 C 0.500 0.500 0.000  -0.04
20 C 0.000 0.500 0.500  -0.04

## Properties
D(E_F) = 44.693 states/eV per cell
Symmetry = Im-3m, No. 229
ΔH_f (0 K) = -5.8 eV per formula unit

7.
## TbCeHgC (PBE)

Data for a relaxed structure of TbCeHgC.

a b c (Å): 3.597 3.597 8.339
angles (deg): 90.00 102.47 119.99
Each line ends with the local moment (μB).
Fractional coordinates of all 4 atoms:
1 Tb 0.518 0.157 0.691  0.05
2 Ce 0.083 0.939 0.037  0.44
3 Hg 0.974 0.385 0.375  0.01
4 C 0.303 0.549 0.867  -0.02

## Properties
D(E_F) = 4.444 states/eV per cell
Symmetry = R3m, No. 160
ΔH_f (0 K) = -1.3 eV per formula unit

8.
## Ce2ThHgC (PBE)

Data for a relaxed structure of Ce2ThHgC.

a b c (Å): 4.963 4.963 5.060
angles (deg): 90.00 90.00 90.00
Each line ends with the local moment (μB).
Fractional coordinates of all 5 atoms:
1 Ce 0.000 0.500 0.000  0.42
2 Ce 0.500 0.000 0.000  0.42
3 Th 0.000 0.000 0.500  0.03
4 Hg 0.500 0.500 0.500  -0.01
5 C 0.000 0.000 0.000  -0.03

## Properties
D(E_F) = 9.380 states/eV per cell
Symmetry = P4/mmm, No. 123
ΔH_f (0 K) = -1.2 eV per formula unit

9.
## Ce2Th2Hg2C (PBE)

Data for a relaxed structure of Ce2Th2Hg2C.

a b c (Å): 3.650 7.199 7.230
angles (deg): 76.57 89.87 75.15
Each line ends with the local moment (μB).
Fractional coordinates of all 7 atoms:
1 Ce 0.809 0.373 0.889  0.27
2 Ce 0.191 0.627 0.111  0.27
3 Th 0.511 0.981 0.766  0.00
4 Th 0.489 0.019 0.234  0.00
5 Hg 0.839 0.324 0.441  0.00
6 Hg 0.161 0.676 0.559  0.00
7 C 0.000 0.000 0.000  -0.01

## Properties
D(E_F) = 11.131 states/eV per cell
Symmetry = P-1, No. 2
ΔH_f (0 K) = -1.7 eV per formula unit

10.
## CeTm2HgC (PBE)

Data for a relaxed structure of CeTm2HgC.

a b c (Å): 4.869 4.855 4.855
angles (deg): 90.00 90.00 90.00
Each line ends with the local moment (μB).
Fractional coordinates of all 5 atoms:
1 Ce 0.500 0.000 0.000  0.12
2 Tm 0.000 0.000 0.500  0.00
3 Tm 0.000 0.500 0.000  0.00
4 Hg 0.500 0.500 0.500  0.00
5 C 0.000 0.000 0.000  -0.01

## Properties
D(E_F) = 5.165 states/eV per cell
Symmetry = P4/mmm, No. 123
ΔH_f (0 K) = -1.8 eV per formula unit

11.
## CeY2HgC (PBE)

Data for a relaxed structure of CeY2HgC.

a b c (Å): 4.885 4.942 4.942
angles (deg): 90.00 90.00 90.00
Each line ends with the local moment (μB).
Fractional coordinates of all 5 atoms:
1 Ce 0.500 0.000 0.000  0.16
2 Y 0.000 0.000 0.500  0.00
3 Y 0.000 0.500 0.000  0.00
4 Hg 0.500 0.500 0.500  0.00
5 C 0.000 0.000 0.000  -0.01

## Properties
D(E_F) = 5.686 states/eV per cell
Symmetry = P4/mmm, No. 123
ΔH_f (0 K) = -1.7 eV per formula unit

12.
## CeYHgC (PBE)

Data for a relaxed structure of CeYHgC.

a b c (Å): 3.601 3.601 8.307
angles (deg): 90.00 102.53 119.99
Each line ends with the local moment (μB).
Fractional coordinates of all 4 atoms:
1 Ce 0.082 0.939 0.036  0.43
2 Y 0.518 0.157 0.690  0.04
3 Hg 0.974 0.385 0.375  0.00
4 C 0.303 0.549 0.867  -0.02

## Properties
D(E_F) = 4.462 states/eV per cell
Symmetry = R3m, No. 160
ΔH_f (0 K) = -1.3 eV per formula unit